Record 1
This record from Alexandria describes CrIn2Pb2 after structural relaxation. The functional is PBE-GGA.

The structure in POSCAR format:
```
CrIn2Pb2
1.0
-2.181 3.067 1.126
0.489 -1.032 3.759
6.514 6.091 2.878
In Pb Cr
2 2 1
Direct
0.250 0.750 0.500
0.750 0.250 0.500
0.414 0.414 0.172
0.586 0.586 0.828
0.000 0.000 0.000
```

Computed properties:
The value obtained for the polymorph energy (0 for the lowest one) is 2.08 eV per formula unit. The crystal system is tetragonal. As for the density of states at the Fermi level: 6.35 states/eV/cell. The calculation puts the volume at 138.1 Å³/f.u.

Record 2
This record from Alexandria describes CrInPb after structural relaxation. The functional is PBE-GGA.

The structure in POSCAR format:
```
CrInPb
1.0
-4.619 4.483 1.246
-4.572 2.450 4.009
1.594 2.459 1.782
Cr In Pb
1 1 1
Direct
0.007 0.007 0.993
0.644 0.644 0.356
0.348 0.348 0.652
```

Computed properties:
The value obtained for the polymorph energy (0 for the lowest one) is 0.11 eV per formula unit. The crystal system is tetragonal. As for the density of states at the Fermi level: 2.33 states/eV/cell. The calculation puts the volume at 71.7 Å³/f.u.

Magnetization across the listed records, respectively: 0.173, 4.068 μB/f.u..
Energy of formation from the pure elements across the listed records, respectively: 815, 411 meV per atom.
Electronic total energy across the listed records, respectively: -3.688, -4.945 eV per atom.